Material: KInSi
Method: DFT, PBE
State: optimized geometry

POSCAR file:
```
KInSi
1.0
-3.8568 -0.4717 2.2579
0.4098 -1.7201 -4.1315
3.6512 -9.3959 4.2740
K Si In
2 2 2
direct
0.0000 0.0000 0.0000 K
0.0000 0.0000 0.5000 K
0.3333 0.6667 0.7500 Si
0.6667 0.3333 0.2500 Si
0.3333 0.6667 0.2500 In
0.6667 0.3333 0.7500 In
```

Calculated values
Space group = P6_3/mmc (194)
Formation energy from raw total energies = -0.013 eV per atom
Calculated density = 3.2 g/cm3